A geometry-optimized Y2TaCu structure, computed with PBE.

The space group is F-43m (No. 216) and the conventional cell measures 7.0331, 7.0331 and 7.0331 Å, with angles of 90.00, 90.00 and 90.00 degrees. The asymmetric unit holds Y at (0.0000, 0.0000, 0.0000), Y at (0.2500, 0.2500, 0.2500), Ta at (0.0000, 0.0000, 0.5000) and Cu at (0.2500, 0.2500, 0.7500).

The calculation puts the formation energy at 536 meV/atom. The total energy comes out at -106.935 eV/cell. The value obtained for the density of states at the Fermi level is 5.98 states/eV/f.u. Its distance to the lowest polymorph of the same formula is 409 meV per atom. For the density, the calculation gives 8.063 g/cm3.

A geometry-optimized YTaCu structure, computed with PBE.

The space group is Fmm2 (No. 42) and the conventional cell measures 4.5174, 4.5250 and 11.6189 Å, with angles of 90.00, 90.00 and 90.00 degrees. The asymmetric unit holds Y at (0.0000, 0.0000, 0.0000), Ta at (0.0000, 0.0000, 0.3065) and Cu at (0.0000, 0.0000, 0.6824).

The calculation puts the formation energy at 152 meV/atom. The total energy comes out at -87.832 eV/cell. The value obtained for the density of states at the Fermi level is 2.58 states/eV/f.u. Its distance to the lowest polymorph of the same formula is 0 meV per atom. For the density, the calculation gives 9.324 g/cm3.

A geometry-optimized Y2TaCu structure, computed with PBE.

The space group is Amm2 (No. 38) and the conventional cell measures 4.5789, 3.5432 and 11.5303 Å, with angles of 90.00, 90.00 and 90.00 degrees. The asymmetric unit holds Y at (0.0000, 0.0000, 0.0000), Y at (0.5000, 0.0000, 0.3121), Ta at (0.0000, 0.0000, 0.7186) and Cu at (0.5000, 0.0000, 0.5973).

The calculation puts the formation energy at 238 meV/atom. The total energy comes out at -55.853 eV/cell. The value obtained for the density of states at the Fermi level is 5.23 states/eV/f.u. Its distance to the lowest polymorph of the same formula is 110 meV per atom. For the density, the calculation gives 7.497 g/cm3.

A geometry-optimized Y3TaCu structure, computed with PBE.

The space group is Pm-3m (No. 221) and the conventional cell measures 5.2123, 5.2123 and 5.2123 Å, with angles of 90.00, 90.00 and 90.00 degrees. The asymmetric unit holds Y at (0.0000, 0.0000, 0.5000), Ta at (0.5000, 0.5000, 0.5000) and Cu at (0.0000, 0.0000, 0.0000).

The calculation puts the formation energy at 706 meV/atom. The total energy comes out at -31.809 eV/cell. The value obtained for the density of states at the Fermi level is 9.74 states/eV/f.u. Its distance to the lowest polymorph of the same formula is 0 meV per atom. For the density, the calculation gives 5.995 g/cm3.

A geometry-optimized YTaCu structure, computed with PBE.

The space group is P-6m2 (No. 187) and the conventional cell measures 4.6195, 4.6195 and 3.3114 Å, with angles of 90.00, 90.00 and 120.00 degrees. The asymmetric unit holds Y at (0.0000, 0.0000, 0.0000), Ta at (0.3333, 0.6667, 0.5000) and Cu at (0.6667, 0.3333, 0.5000).

The calculation puts the formation energy at 409 meV/atom. The total energy comes out at -21.187 eV/cell. The value obtained for the density of states at the Fermi level is 3.44 states/eV/f.u. Its distance to the lowest polymorph of the same formula is 257 meV per atom. For the density, the calculation gives 9.047 g/cm3.

A geometry-optimized Y2TaCu structure, computed with PBE.

The space group is I-4m2 (No. 119) and the conventional cell measures 4.2965, 4.2965 and 9.6282 Å, with angles of 90.00, 90.00 and 90.00 degrees. The asymmetric unit holds Y at (0.0000, 0.0000, 0.0000), Y at (0.0000, 0.5000, 0.2500), Ta at (0.0000, 0.0000, 0.5000) and Cu at (0.0000, 0.5000, 0.7500).

The calculation puts the formation energy at 410 meV/atom. The total energy comes out at -54.475 eV/cell. The value obtained for the density of states at the Fermi level is 6.53 states/eV/f.u. Its distance to the lowest polymorph of the same formula is 283 meV per atom. For the density, the calculation gives 7.891 g/cm3.

A geometry-optimized YTaCu structure, computed with PBE.

The space group is F-43m (No. 216) and the conventional cell measures 6.6260, 6.6260 and 6.6260 Å, with angles of 90.00, 90.00 and 90.00 degrees. The asymmetric unit holds Y at (0.0000, 0.0000, 0.0000), Ta at (0.2500, 0.2500, 0.7500) and Cu at (0.2500, 0.2500, 0.2500).

The calculation puts the formation energy at 1509 meV/atom. The total energy comes out at -71.548 eV/cell. The value obtained for the density of states at the Fermi level is 4.21 states/eV/f.u. Its distance to the lowest polymorph of the same formula is 1357 meV per atom. For the density, the calculation gives 7.613 g/cm3.

A geometry-optimized Y2TaCu structure, computed with PBE.

The space group is R-3m (No. 166, hexagonal axes) and the conventional cell measures 3.2990, 3.2990 and 29.0081 Å, with angles of 90.00, 90.00 and 120.00 degrees. The asymmetric unit holds Y at (0.0000, 0.0000, 0.2460), Ta at (0.0000, 0.0000, 0.0000) and Cu at (0.0000, 0.0000, 0.5000).

The calculation puts the formation energy at 335 meV/atom. The total energy comes out at -82.606 eV/cell. The value obtained for the density of states at the Fermi level is 3.63 states/eV/f.u. Its distance to the lowest polymorph of the same formula is 208 meV per atom. For the density, the calculation gives 7.694 g/cm3.